Entry 1:
A plane-wave DFT calculation with PBE was carried out for crystalline CsMgScO3 at its relaxed geometry.

Cell lengths 5.8103, 10.7558, 5.8235 Å; angles 90.00, 90.00, 90.00 degrees
Space group Cmcm (No. 63)
Symmetry-distinct sites (fractional):
Cs1 0.0000 0.2456 0.2500 (multiplicity 4)
Mg1 0.0000 0.0656 0.7500 (multiplicity 4)
Sc1 0.0000 0.4361 0.7500 (multiplicity 4)
O1 0.0000 0.2553 0.7500 (multiplicity 4)
O2 0.2477 0.5000 0.0000 (multiplicity 8)

Output
DFT total energy, hartree per atom: -0.240
Total magnetization, Bohr magnetons per cell: 0.0
Calculated density, Mg/m³: 4.57


Entry 2:
A plane-wave DFT calculation with PBE was carried out for crystalline Cs2MgSiO4 at its relaxed geometry.

Cell lengths 5.0509, 12.3766, 22.3241 Å; angles 90.00, 90.00, 90.00 degrees
Space group Fddd (No. 70, origin choice 2)
Symmetry-distinct sites (fractional):
Cs1 0.1250 0.1250 0.2988 (multiplicity 16)
Mg1 0.1250 0.1250 0.1250 (multiplicity 8)
Si1 0.1250 0.1250 0.6250 (multiplicity 8)
O1 0.0825 0.2991 0.8349 (multiplicity 32)

Output
DFT total energy, hartree per atom: -0.215
Total magnetization, Bohr magnetons per cell: 0.0
Calculated density, Mg/m³: 3.64